Compound: Mn2MoIF
Source: Alexandria via LeMat-Bulk
Functional: PBE+U
Structure: relaxed

a = 5.283 Å, b = 5.283 Å, c = 5.707 Å
α = 90.00°, β = 90.00°, γ = 90.00°
Space group P4/mmm (No. 123)
One atom of each set of equivalent atoms:
Mn: 0.000 0.500 0.000 [2 per cell]
Mo: 0.000 0.000 0.500 [1 per cell]
I: 0.000 0.000 0.000 [1 per cell]
F: 0.500 0.500 0.500 [1 per cell]

=====

Compound: MgWF2
Source: Alexandria via LeMat-Bulk
Functional: PBE+U
Structure: relaxed

a = 5.101 Å, b = 5.101 Å, c = 9.596 Å
α = 90.00°, β = 90.00°, γ = 90.00°
Space group I-42d (No. 122)
One atom of each set of equivalent atoms:
Mg: 0.000 0.000 0.000 [4 per cell]
W: 0.000 0.000 0.500 [4 per cell]
F: 0.157 0.250 0.125 [8 per cell]

=====

no.,magnetization (μB/cell),E (eV/atom)
1,5.31,-3.069
2,8.00,-4.130